Record 1
NdScSn: optimized geometry, GGA-PBE.

Properties
- DFT formation energy (eV/atom) = -0.15
- offset from the most stable computed form (kJ/mol of formula units) = 138

The structure in CIF format:
```
data_NdScSn
_chemical_formula_sum 'Nd4 Sc4 Sn4'
_symmetry_space_group_name_H-M 'C 1 2/m 1'
_symmetry_Int_Tables_number 12
_cell_length_a 11.525
_cell_length_b 3.431
_cell_length_c 9.873
_cell_angle_alpha 90.00
_cell_angle_beta 113.05
_cell_angle_gamma 90.00
loop_
_symmetry_equiv_pos_as_xyz
'x,y,z'
'-x,-y,-z'
'-x,y,-z'
'x,-y,z'
'x+1/2,y+1/2,z'
'-x+1/2,-y+1/2,-z'
'-x+1/2,y+1/2,-z'
'x+1/2,-y+1/2,z'
loop_
_atom_site_label
_atom_site_type_symbol
_atom_site_fract_x
_atom_site_fract_y
_atom_site_fract_z
Nd1 Nd 0.003 0.000 0.271
Sc1 Sc 0.150 0.500 0.062
Sn1 Sn 0.220 0.000 0.611
```

=====

Record 2
TbHoZn: optimized geometry, GGA-PBE.

Properties
- DFT formation energy (eV/atom) = 0.02
- offset from the most stable computed form (kJ/mol of formula units) = 68

The structure in CIF format:
```
data_TbHoZn
_chemical_formula_sum 'Tb4 Ho4 Zn4'
_symmetry_space_group_name_H-M 'P n m a'
_symmetry_Int_Tables_number 62
_cell_length_a 9.850
_cell_length_b 4.924
_cell_length_c 7.035
_cell_angle_alpha 90.00
_cell_angle_beta 90.00
_cell_angle_gamma 90.00
loop_
_symmetry_equiv_pos_as_xyz
'x,y,z'
'-x,-y,-z'
'-x+1/2,-y,z+1/2'
'x+1/2,y,-z+1/2'
'x+1/2,-y+1/2,-z+1/2'
'-x+1/2,y+1/2,z+1/2'
'-x,y+1/2,-z'
'x,-y+1/2,z'
loop_
_atom_site_label
_atom_site_type_symbol
_atom_site_fract_x
_atom_site_fract_y
_atom_site_fract_z
Tb1 Tb 0.127 0.250 0.000
Ho1 Ho 0.123 0.250 0.500
Zn1 Zn 0.125 0.750 0.250
```

=====

Record 3
PuInO4: optimized geometry, GGA-PBE.

The structure in CIF format:
```
data_PuInO4
_chemical_formula_sum 'Pu2 In2 O8'
_symmetry_space_group_name_H-M 'C m m m'
_symmetry_Int_Tables_number 65
_symmetry_space_group_name_Hall '-C 2 2'
_cell_length_a 6.954
_cell_length_b 7.061
_cell_length_c 3.447
_cell_angle_alpha 90.00
_cell_angle_beta 90.00
_cell_angle_gamma 90.00
loop_
_atom_site_label
_atom_site_type_symbol
_atom_site_fract_x
_atom_site_fract_y
_atom_site_fract_z
Pu1 Pu 0.000 0.000 0.000
In1 In 0.000 0.500 0.500
O1 O 0.000 0.187 0.500
O2 O 0.198 0.500 0.000
```

=====

Record 4
MnFe2Ag: optimized geometry, GGA-PBE.

Properties
- DFT formation energy (eV/atom) = 0.39
- offset from the most stable computed form (kJ/mol of formula units) = 41

The structure in CIF format:
```
data_MnFe2Ag
_chemical_formula_sum 'Mn2 Fe4 Ag2'
_symmetry_space_group_name_H-M 'I m m 2'
_symmetry_Int_Tables_number 44
_cell_length_a 2.942
_cell_length_b 4.435
_cell_length_c 8.566
_cell_angle_alpha 90.00
_cell_angle_beta 90.00
_cell_angle_gamma 90.00
loop_
_symmetry_equiv_pos_as_xyz
'x,y,z'
'-x,-y,z'
'-x,y,z'
'x,-y,z'
'x+1/2,y+1/2,z+1/2'
'-x+1/2,-y+1/2,z+1/2'
'-x+1/2,y+1/2,z+1/2'
'x+1/2,-y+1/2,z+1/2'
loop_
_atom_site_label
_atom_site_type_symbol
_atom_site_fract_x
_atom_site_fract_y
_atom_site_fract_z
Mn1 Mn 0.000 0.000 0.000
Fe1 Fe 0.000 0.000 0.529
Fe2 Fe 0.000 0.500 0.250
Ag1 Ag 0.000 0.500 0.767
```

=====

Record 5
KNbCd: optimized geometry, GGA-PBE.

Properties
- DFT formation energy (eV/atom) = 0.24
- offset from the most stable computed form (kJ/mol of formula units) = 0

The structure in CIF format:
```
data_KNbCd
_chemical_formula_sum 'K2 Nb2 Cd2'
_symmetry_space_group_name_H-M 'P 1 21/m 1'
_symmetry_Int_Tables_number 11
_cell_length_a 3.535
_cell_length_b 3.536
_cell_length_c 14.298
_cell_angle_alpha 90.00
_cell_angle_beta 90.42
_cell_angle_gamma 90.00
loop_
_symmetry_equiv_pos_as_xyz
'x,y,z'
'-x,-y,-z'
'-x,y+1/2,-z'
'x,-y+1/2,z'
loop_
_atom_site_label
_atom_site_type_symbol
_atom_site_fract_x
_atom_site_fract_y
_atom_site_fract_z
K1 K 0.239 0.250 0.144
Nb1 Nb 0.249 0.250 0.458
Cd1 Cd 0.256 0.250 0.669
```

=====

Record 6
Sm7Tm4Sc: optimized geometry, GGA-PBE.

Properties
- DFT formation energy (eV/atom) = 0.22
- offset from the most stable computed form (kJ/mol of formula units) = 96

The structure in CIF format:
```
data_Sm7Tm4Sc
_chemical_formula_sum 'Sm14 Tm8 Sc2'
_symmetry_space_group_name_H-M 'C 1 2/m 1'
_symmetry_Int_Tables_number 12
_cell_length_a 16.012
_cell_length_b 5.855
_cell_length_c 9.296
_cell_angle_alpha 90.00
_cell_angle_beta 116.56
_cell_angle_gamma 90.00
loop_
_symmetry_equiv_pos_as_xyz
'x,y,z'
'-x,-y,-z'
'-x,y,-z'
'x,-y,z'
'x+1/2,y+1/2,z'
'-x+1/2,-y+1/2,-z'
'-x+1/2,y+1/2,-z'
'x+1/2,-y+1/2,z'
loop_
_atom_site_label
_atom_site_type_symbol
_atom_site_fract_x
_atom_site_fract_y
_atom_site_fract_z
Sm1 Sm 0.000 0.000 0.000
Sm2 Sm 0.080 0.500 0.435
Sm3 Sm 0.204 0.500 0.223
Sm4 Sm 0.210 0.500 0.876
Tm1 Tm 0.074 0.000 0.697
Tm2 Tm 0.174 0.000 0.395
Sc1 Sc 0.000 0.500 0.000
```

=====

Record 7
GaSeIBr2: optimized geometry, GGA-PBE.

Properties
- offset from the most stable computed form (kJ/mol of formula units) = 96

The structure in CIF format:
```
data_GaSeIBr2
_chemical_formula_sum 'Ga1 Se1 I1 Br2'
_symmetry_space_group_name_H-M 'P 4/m m m'
_symmetry_Int_Tables_number 123
_symmetry_space_group_name_Hall '-P 4 2'
_cell_length_a 5.835
_cell_length_b 5.835
_cell_length_c 5.457
_cell_angle_alpha 90.00
_cell_angle_beta 90.00
_cell_angle_gamma 90.00
loop_
_atom_site_label
_atom_site_type_symbol
_atom_site_fract_x
_atom_site_fract_y
_atom_site_fract_z
Ga1 Ga 0.000 0.000 0.000
Se1 Se 0.500 0.500 0.000
I1 I 0.500 0.500 0.500
Br1 Br 0.000 0.500 0.500
```

=====

Record 8
YMgRu2C: optimized geometry, GGA-PBE.

Properties
- DFT formation energy (eV/atom) = -0.04

The structure in CIF format:
```
data_YMgRu2C
_chemical_formula_sum 'Y1 Mg1 Ru2 C1'
_symmetry_space_group_name_H-M 'P 4/m m m'
_symmetry_Int_Tables_number 123
_symmetry_space_group_name_Hall '-P 4 2'
_cell_length_a 4.227
_cell_length_b 4.227
_cell_length_c 4.273
_cell_angle_alpha 90.00
_cell_angle_beta 90.00
_cell_angle_gamma 90.00
loop_
_atom_site_label
_atom_site_type_symbol
_atom_site_fract_x
_atom_site_fract_y
_atom_site_fract_z
Y1 Y 0.000 0.000 0.000
Mg1 Mg 0.500 0.500 0.000
Ru1 Ru 0.000 0.500 0.500
C1 C 0.500 0.500 0.500
```

=====

The VASP energy results, record by record, are as follows: -5.1883, -3.4723, -8.3952, -6.8508, -3.7871, -4.5500, -2.0816, -7.2031 eV/atom.